Record 1
A plane-wave DFT calculation with PBE was carried out for a relaxed structure of KTi3Bi.

Unit cell a=5.480 b=5.480 c=5.480 alpha=90.00 beta=90.00 gamma=90.00
Space group Pm-3m (No. 221)
Asymmetric unit:
K (0.000, 0.000, 0.000) x1
Ti (0.000, 0.500, 0.500) x3
Bi (0.500, 0.500, 0.500) x1

- Polymorph energy (0 for the lowest one): 0 meV/atom

Record 2
A plane-wave DFT calculation with PBE was carried out for a relaxed structure of KTiBi.

Unit cell a=4.562 b=4.562 c=9.136 alpha=90.00 beta=90.00 gamma=90.00
Space group P4/nmm (No. 129, origin choice 2)
Asymmetric unit:
K (0.250, 0.250, 0.145) x2
Ti (0.250, 0.750, 0.500) x2
Bi (0.250, 0.250, 0.704) x2

Record 3
A plane-wave DFT calculation with PBE was carried out for a relaxed structure of KTi2Bi2.

Unit cell a=4.510 b=4.510 c=14.856 alpha=90.00 beta=90.00 gamma=90.00
Space group I4/mmm (No. 139)
Asymmetric unit:
K (0.000, 0.000, 0.000) x2
Ti (0.000, 0.500, 0.250) x4
Bi (0.000, 0.000, 0.366) x4

- Polymorph energy (0 for the lowest one): 0 meV/atom

Record 4
A plane-wave DFT calculation with PBE was carried out for a relaxed structure of KTi2Bi2.

Unit cell a=8.955 b=8.955 c=3.286 alpha=90.00 beta=90.00 gamma=90.00
Space group P4/mbm (No. 127)
Asymmetric unit:
K (0.000, 0.000, 0.000) x2
Ti (0.107, 0.393, 0.500) x4
Bi (0.169, 0.669, 0.000) x4

- Polymorph energy (0 for the lowest one): 207 meV/atom

Record 5
A plane-wave DFT calculation with PBE was carried out for a relaxed structure of KTiTlBi2.

Unit cell a=5.494 b=5.494 c=5.586 alpha=90.00 beta=90.00 gamma=90.00
Space group P4/mmm (No. 123)
Asymmetric unit:
K (0.000, 0.000, 0.000) x1
Ti (0.500, 0.500, 0.500) x1
Tl (0.500, 0.500, 0.000) x1
Bi (0.000, 0.500, 0.500) x2

Record 6
A plane-wave DFT calculation with PBE was carried out for a relaxed structure of K2TiBiW.

Unit cell a=6.599 b=6.599 c=5.305 alpha=90.00 beta=90.00 gamma=90.00
Space group P4/mmm (No. 123)
Asymmetric unit:
K (0.000, 0.500, 0.000) x2
Ti (0.000, 0.000, 0.000) x1
Bi (0.000, 0.000, 0.500) x1
W (0.500, 0.500, 0.500) x1

- Polymorph energy (0 for the lowest one): 0 meV/atom

Number 1: total moment 7.85 μB per cell, energy of formation 107.9 kJ/mol of atoms. Number 2: total moment 3.55 μB per cell, energy of formation -16.2 kJ/mol of atoms. Number 3: total moment 0.02 μB per cell, energy of formation -11.2 kJ/mol of atoms. Number 4: total moment 2.16 μB per cell, energy of formation 8.8 kJ/mol of atoms. Number 5: total moment 0.00 μB per cell, energy of formation -10.9 kJ/mol of atoms. Number 6: total moment 7.36 μB per cell, energy of formation 170.7 kJ/mol of atoms.